8
Lattice="3.6540 0.0000 0.0000 1.8270 5.8148 0.4997 1.8270 1.5595 5.6240" Properties=species:S:1:pos:R:3 comment="DyNi5Rh2 PBE-GGA relaxed" space_group="No. 71" formation_energy_mev_per_atom=-24 energy_ev_per_atom=-6.05 volume_a3_per_atom=14.58 dos_ef_per_ev_fu=13.40 crystal_system=orthorhombic magnetic_moment_mub_per_atom=0.3276 pbc="T T T"
Rh 5.4811 5.5824 4.6357
Ni 3.6540 3.8373 4.7590
Rh 1.8270 1.7919 1.4880
Ni 3.6540 5.3830 2.8976
Ni 3.6540 3.5370 1.3647
Dy 0.0000 0.0000 0.0000
Ni 3.6540 1.9913 3.2261
Ni 1.8270 3.6871 3.0618

14
Lattice="-2.2215 5.1797 -5.0125 1.4434 -6.4675 -3.6020 -5.4520 -1.0957 5.0977" Properties=species:S:1:pos:R:3 comment="Dy4Ni2Rh PBE-GGA relaxed" space_group="No. 74" formation_energy_mev_per_atom=-387 energy_ev_per_atom=-5.72 volume_a3_per_atom=23.59 dos_ef_per_ev_fu=5.07 crystal_system=orthorhombic magnetic_moment_mub_per_atom=0.0000 pbc="T T T"
Dy -4.9454 0.0264 -3.3535
Dy -2.4071 1.1590 -0.5960
Dy -3.3944 2.9552 -3.9330
Dy -4.9260 -0.0466 2.0326
Ni -3.8257 -2.6003 1.8462
Ni -2.2099 0.5386 -3.2091
Dy -1.0269 -1.8787 -2.4853
Rh -2.1986 -4.1026 -1.4018
Dy -4.4946 -2.7598 -0.7580
Dy -5.3782 2.7392 -0.5623
Ni -1.4891 -2.6954 -5.0102
Rh -0.0003 -0.0010 -0.0038
Ni -4.9355 -0.0101 -0.6605
Dy -2.0127 -0.0819 -5.8224

12
Lattice="-1.7620 -2.6832 -3.6013 2.9735 -1.9730 3.2464 -9.2913 -2.9303 6.7293" Properties=species:S:1:pos:R:3 comment="Dy3NiRh2 PBE-GGA relaxed" space_group="No. 164" formation_energy_mev_per_atom=-716 energy_ev_per_atom=-6.43 volume_a3_per_atom=19.89 dos_ef_per_ev_fu=2.51 crystal_system=trigonal magnetic_moment_mub_per_atom=0.0000 pbc="T T T"
Dy -5.5982 -4.1541 2.6029
Rh -7.9153 -4.8849 4.2811
Rh 0.0000 0.0000 0.0000
Dy -2.4817 -3.4323 3.7715
Ni -4.8012 -4.1639 5.4515
Dy -2.3381 -0.7374 1.6934
Rh -4.6457 -1.4652 3.3646
Dy -0.9700 -2.6945 -0.7491
Dy -6.9532 -2.1929 5.0359
Rh -0.1645 -2.7015 2.0933
Dy -7.1099 -4.8920 7.1236
Ni -3.2786 -3.4226 0.9230

7
Lattice="4.4043 -0.0004 2.3538 2.0468 4.6033 1.4621 0.0303 -0.3404 5.2344" Properties=species:S:1:pos:R:3 comment="DyNi2Rh4 PBE-GGA relaxed" space_group="No. 71" formation_energy_mev_per_atom=-219 energy_ev_per_atom=-6.73 volume_a3_per_atom=15.19 dos_ef_per_ev_fu=11.77 crystal_system=orthorhombic magnetic_moment_mub_per_atom=0.1971 pbc="T T T"
Rh 1.3359 -0.1342 2.7917
Rh 4.3433 2.4297 7.7593
Ni 4.3399 2.1325 5.1144
Rh 5.1455 4.3966 6.2586
Rh 2.1381 1.8327 1.2910
Dy 4.4043 -0.0004 2.3537
Ni 2.1415 2.1299 3.9359